Below is a relaxed Cs2K3BaBr6 crystal, with properties calculated at the PBE level.

Unit cell a=21.708 b=4.768 c=10.249 alpha=90.00 beta=103.46 gamma=90.00
Space group C2/m (No. 12)
Asymmetric unit:
Cs 0.168 0.000 0.337
K 0.000 0.500 0.500
K 0.165 0.000 0.833
Ba 0.000 0.500 0.000
Br 0.004 0.000 0.755
Br 0.158 0.500 0.061
Br 0.160 0.500 0.602

Results
Uncorrected formation energy ... -1686 meV per atom
D(E_F) ... 4.78 states/eV/cell
Size of the total moment ... 0.87 μB/cell